Material: ZrSn2Se
Method: DFT, PBE
State: relaxed

Cell lengths 6.5171, 6.5171, 6.5171 Å; angles 101.83, 101.83, 126.16 degrees
Last column: nearest neighbours and their distance in Å.
Element x y z (fractional)
1 Zr 0.0000 0.0000 0.0000  2 Se 2.95, 4 Sn 2.99
2 Zr 0.7500 0.2500 0.5000  2 Se 2.95, 4 Sn 2.99
3 Sn 0.1238 0.1250 0.4988  2 Sn 2.95, 2 Zr 2.99, 2 Se 3.00
4 Sn 0.3750 0.8762 0.0012  2 Sn 2.95, 2 Zr 2.99, 2 Se 3.00
5 Sn 0.6262 0.6250 0.5012  2 Sn 2.95, 2 Zr 2.99, 2 Se 3.00
6 Sn 0.8750 0.3738 0.9988  2 Sn 2.95, 2 Zr 2.99, 2 Se 3.00
7 Se 0.2500 0.7500 0.5000  2 Zr 2.95, 4 Sn 3.00
8 Se 0.5000 0.5000 0.0000  2 Zr 2.95, 4 Sn 3.00

Output
crystal system	tetragonal
energy relative to the elements, uncorrected	0.0051	eV per atom

Material: LiLa2Co
Method: DFT, PBE
State: relaxed

Cell lengths 3.5782, 3.5782, 7.4864 Å; angles 90.00, 90.00, 90.00 degrees
Last column: nearest neighbours and their distance in Å.
Element x y z (fractional)
1 Li 0.0000 0.0000 0.0000  4 Co 2.65, 1 La 2.74
2 La 0.0000 0.0000 0.3663  1 Li 2.74
3 La 0.5000 0.5000 0.7688  1 Co 2.51
4 Co 0.5000 0.5000 0.1047  1 La 2.51, 4 Li 2.65

Output
formation energy	0.17	eV/atom
crystal system	tetragonal

Material: Ac4GePSe2
Method: DFT, PBE
State: relaxed

Cell lengths 7.8045, 4.5162, 7.8339 Å; angles 90.00, 109.46, 90.00 degrees
Last column: nearest neighbours and their distance in Å.
Element x y z (fractional)
1 Ac 0.2436 0.0000 0.2349  2 P 3.13, 1 Ge 3.14, 3 Se 3.25-3.26
2 Ac 0.2529 0.5000 0.7624  1 P 3.13, 2 Ge 3.15, 3 Se 3.24-3.25
3 Ac 0.7471 0.5000 0.2376  1 P 3.13, 2 Ge 3.15, 3 Se 3.24-3.25
4 Ac 0.7564 0.0000 0.7651  2 P 3.13, 1 Ge 3.14, 3 Se 3.25-3.26
5 Ge 0.5000 0.0000 0.0000  6 Ac 3.14-3.15
6 P 0.0000 0.5000 0.0000  6 Ac 3.13
7 Se 0.0000 0.0000 0.5000  6 Ac 3.24-3.25
8 Se 0.5000 0.5000 0.5000  6 Ac 3.25-3.26

Output
crystal system	monoclinic
energy relative to the elements, uncorrected	-1.5669	eV per atom

Material: Nb3PW
Method: DFT, PBE
State: relaxed

Cell lengths 4.8649, 4.8649, 4.8649 Å; angles 90.00, 90.00, 90.00 degrees
Last column: nearest neighbours and their distance in Å.
Element x y z (fractional)
1 Nb 0.0000 0.0000 0.5000  2 W 2.43
2 Nb 0.0000 0.5000 0.0000  2 W 2.43
3 Nb 0.5000 0.0000 0.0000  2 W 2.43
4 P 0.5000 0.5000 0.5000  12 Nb 3.44
5 W 0.0000 0.0000 0.0000  6 Nb 2.43

Output
formation energy	1.48	eV/atom
energy above the lowest structure with this stoichiometry	987	meV per atom
crystal system	cubic

| no. | E_tot (eV per formula unit) |
| --- | --- |
| 1 | -20.0 |
| 2 | -18.2 |
| 3 | -46.0 |
| 4 | -41.2 |